The following is a DFT calculation (PBE) of a relaxed HfThAs2N crystal.

## Properties
magnetization	0.00	μB per cell
formation energy (no corrections)	-1024	meV per atom
space-group type	P4/nmm

Cell lengths 3.910, 3.910, 14.256 Å; angles 90.00, 90.00, 90.00 degrees
Positions (direct):
Hf  0.250  0.250  0.094
Hf  0.750  0.750  0.906
Th  0.250  0.250  0.587
Th  0.750  0.750  0.413
As  0.250  0.250  0.279
As  0.250  0.250  0.899
As  0.750  0.750  0.101
As  0.750  0.750  0.721
N  0.250  0.750  0.500
N  0.750  0.250  0.500

The following is a DFT calculation (PBE) of a relaxed Th8IrRu5 crystal.

## Properties
magnetization	0.00	μB per cell
formation enthalpy at 0 K	-0.5290	eV/atom
space-group type	I-4

Cell lengths 7.666, 7.666, 7.666 Å; angles 109.18, 109.18, 110.06 degrees
Positions (direct):
Th  0.015  0.380  0.252
Th  0.125  0.266  0.751
Th  0.128  0.764  0.748
Th  0.236  0.985  0.364
Th  0.515  0.374  0.249
Th  0.620  0.872  0.636
Th  0.626  0.875  0.141
Th  0.734  0.485  0.859
Ir  0.000  0.000  0.000
Ru  0.245  0.626  0.121
Ru  0.374  0.495  0.619
Ru  0.505  0.124  0.879
Ru  0.750  0.250  0.500
Ru  0.876  0.755  0.381

The following is a DFT calculation (PBE) of a relaxed Li2MoAsP crystal.

## Properties
magnetization	3.91	μB per cell
formation enthalpy at 0 K	0.7395	eV/atom
space-group type	P4/mmm

Cell lengths 4.384, 4.384, 5.146 Å; angles 90.00, 90.00, 90.00 degrees
Positions (direct):
Li  0.000  0.500  0.000
Li  0.500  0.000  0.000
Mo  0.000  0.000  0.500
As  0.500  0.500  0.000
P  0.500  0.500  0.500

The following is a DFT calculation (PBE) of a relaxed SnBr2N crystal.

## Properties
magnetization	3.00	μB per cell
formation energy (no corrections)	789	meV per atom
space-group type	Fm-3m

Cell lengths 5.228, 5.228, 5.228 Å; angles 60.00, 60.00, 60.00 degrees
Positions (direct):
Sn  0.000  0.000  0.000
Br  0.250  0.250  0.250
Br  0.750  0.750  0.750
N  0.500  0.500  0.500

The following is a DFT calculation (PBE) of a relaxed TiCr2MoC crystal.

## Properties
magnetization	0.00	μB per cell
formation enthalpy at 0 K	-0.0038	eV/atom
space-group type	P4/mmm

Cell lengths 3.865, 3.865, 4.239 Å; angles 90.00, 90.00, 90.00 degrees
Positions (direct):
Ti  0.000  0.000  0.000
Cr  0.000  0.500  0.500
Cr  0.500  0.000  0.500
Mo  0.500  0.500  0.000
C  0.500  0.500  0.500

The following is a DFT calculation (PBE) of a relaxed Sr2TaP2N6 crystal.

## Properties
magnetization	0.00	μB per cell
formation energy (no corrections)	-871	meV per atom
space-group type	R-3m

Cell lengths 6.294, 6.294, 6.294 Å; angles 53.02, 53.02, 53.02 degrees
Positions (direct):
Sr  0.226  0.226  0.226
Sr  0.774  0.774  0.774
Ta  0.000  0.000  0.000
P  0.432  0.432  0.432
P  0.568  0.568  0.568
N  0.248  0.248  0.732
N  0.248  0.732  0.248
N  0.268  0.752  0.752
N  0.732  0.248  0.248
N  0.752  0.268  0.752
N  0.752  0.752  0.268

The following is a DFT calculation (PBE) of a relaxed ReWAu2 crystal.

## Properties
magnetization	0.00	μB per cell
formation enthalpy at 0 K	0.2983	eV/atom
space-group type	Cmm2

Cell lengths 2.770, 2.770, 9.480 Å; angles 90.00, 90.00, 111.41 degrees
Positions (direct):
Re  0.000  0.000  0.000
W  0.500  0.500  0.221
Au  0.000  0.000  0.476
Au  0.500  0.500  0.741

The following is a DFT calculation (PBE) of a relaxed NdCdGa2Au5 crystal.

## Properties
magnetization	0.00	μB per cell
formation enthalpy at 0 K	-0.3182	eV/atom
space-group type	P4/mmm

Cell lengths 4.941, 4.941, 7.792 Å; angles 90.00, 90.00, 90.00 degrees
Positions (direct):
Nd  0.000  0.000  0.000
Cd  0.000  0.000  0.500
Ga  0.500  0.500  0.342
Ga  0.500  0.500  0.658
Au  0.000  0.500  0.242
Au  0.000  0.500  0.758
Au  0.500  0.000  0.242
Au  0.500  0.000  0.758
Au  0.500  0.500  0.000

The following is a DFT calculation (PBE) of a relaxed KBa2Be crystal.

## Properties
magnetization	0.35	μB per cell
formation enthalpy at 0 K	0.3900	eV/atom
space-group type	R-3m

Cell lengths 11.895, 11.895, 11.895 Å; angles 23.08, 23.08, 23.08 degrees
Positions (direct):
K  0.000  0.000  0.000
Ba  0.218  0.218  0.218
Ba  0.782  0.782  0.782
Be  0.500  0.500  0.500

The following is a DFT calculation (PBE) of a relaxed LiYZr crystal.

## Properties
magnetization	0.00	μB per cell
formation enthalpy at 0 K	0.1480	eV/atom
space-group type	I4mm

Cell lengths 6.858, 6.858, 6.858 Å; angles 151.50, 151.50, 40.75 degrees
Positions (direct):
Li  0.000  0.000  0.000
Y  0.677  0.677  0.000
Zr  0.348  0.348  0.000

The following is a DFT calculation (PBE) of a relaxed TaCu2Re crystal.

## Properties
magnetization	0.00	μB per cell
formation enthalpy at 0 K	0.2750	eV/atom
space-group type	F-43m

Cell lengths 4.373, 4.373, 4.373 Å; angles 60.00, 60.00, 60.00 degrees
Positions (direct):
Ta  0.000  0.000  0.000
Cu  0.250  0.250  0.250
Cu  0.500  0.500  0.500
Re  0.750  0.750  0.750

The following is a DFT calculation (PBE) of a relaxed CeZn4Pt4 crystal.

## Properties
magnetization	0.75	μB per cell
formation enthalpy at 0 K	-0.5752	eV/atom
space-group type	P4_2/nmc

Cell lengths 5.838, 5.838, 9.027 Å; angles 90.00, 90.00, 90.00 degrees
Positions (direct):
Ce  0.250  0.750  0.250
Ce  0.750  0.250  0.750
Zn  0.030  0.250  0.173
Zn  0.250  0.030  0.673
Zn  0.250  0.470  0.673
Zn  0.470  0.250  0.173
Zn  0.530  0.750  0.827
Zn  0.750  0.530  0.327
Zn  0.750  0.970  0.327
Zn  0.970  0.750  0.827
Pt  0.014  0.250  0.466
Pt  0.250  0.014  0.966
Pt  0.250  0.486  0.966
Pt  0.486  0.250  0.466
Pt  0.514  0.750  0.534
Pt  0.750  0.514  0.034
Pt  0.750  0.986  0.034
Pt  0.986  0.750  0.534

The following is a DFT calculation (PBE) of a relaxed Zr2PaFeC4 crystal.

## Properties
magnetization	0.00	μB per cell
formation enthalpy at 0 K	-0.3992	eV/atom
space-group type	Cmcm

Cell lengths 5.863, 5.863, 11.102 Å; angles 90.00, 90.00, 146.96 degrees
Positions (direct):
Zr  0.132  0.868  0.547
Zr  0.132  0.868  0.953
Zr  0.868  0.132  0.047
Zr  0.868  0.132  0.453
Pa  0.401  0.599  0.750
Pa  0.599  0.401  0.250
Fe  0.340  0.660  0.250
Fe  0.660  0.340  0.750
C  0.071  0.929  0.750
C  0.230  0.770  0.130
C  0.230  0.770  0.370
C  0.500  0.500  0.000
C  0.500  0.500  0.500
C  0.770  0.230  0.630
C  0.770  0.230  0.870
C  0.929  0.071  0.250

The following is a DFT calculation (PBE) of a relaxed MnVCr2 crystal.

## Properties
magnetization	0.01	μB per cell
formation enthalpy at 0 K	0.5792	eV/atom
space-group type	I-42d

Cell lengths 5.159, 5.159, 5.159 Å; angles 102.84, 102.84, 123.76 degrees
Positions (direct):
Mn  0.000  0.000  0.000
Mn  0.750  0.250  0.500
V  0.250  0.750  0.500
V  0.500  0.500  0.000
Cr  0.105  0.125  0.480
Cr  0.375  0.895  0.020
Cr  0.645  0.625  0.520
Cr  0.875  0.355  0.980

The following is a DFT calculation (PBE) of a relaxed LiAcSi crystal.

## Properties
magnetization	0.00	μB per cell
formation energy (no corrections)	-399	meV per atom
space-group type	P-6m2

Cell lengths 4.509, 4.509, 4.304 Å; angles 90.00, 90.00, 120.00 degrees
Positions (direct):
Li  0.000  0.000  0.000
Ac  0.333  0.667  0.500
Si  0.667  0.333  0.000

The following is a DFT calculation (PBE) of a relaxed GeAs2Au crystal.

## Properties
magnetization	0.00	μB per cell
formation enthalpy at 0 K	0.2199	eV/atom
space-group type	R-3m

Cell lengths 8.087, 8.087, 8.087 Å; angles 26.66, 26.66, 26.66 degrees
Positions (direct):
Ge  0.000  0.000  0.000
As  0.396  0.396  0.396
As  0.604  0.604  0.604
Au  0.500  0.500  0.500

The following is a DFT calculation (PBE) of a relaxed NpCd12Au6 crystal.

## Properties
magnetization	4.85	μB per cell
formation enthalpy at 0 K	-0.0426	eV/atom
space-group type	R-3m

Cell lengths 7.943, 7.943, 7.943 Å; angles 105.52, 105.52, 105.52 degrees
Positions (direct):
Np  0.000  0.000  0.000
Cd  0.113  0.500  0.887
Cd  0.113  0.887  0.500
Cd  0.139  0.387  0.387
Cd  0.387  0.139  0.387
Cd  0.387  0.387  0.139
Cd  0.500  0.113  0.887
Cd  0.500  0.887  0.113
Cd  0.613  0.613  0.861
Cd  0.613  0.861  0.613
Cd  0.861  0.613  0.613
Cd  0.887  0.113  0.500
Cd  0.887  0.500  0.113
Au  0.284  0.284  0.708
Au  0.284  0.708  0.284
Au  0.292  0.716  0.716
Au  0.708  0.284  0.284
Au  0.716  0.292  0.716
Au  0.716  0.716  0.292

The following is a DFT calculation (PBE) of a relaxed Hf3Zr4 crystal.

## Properties
magnetization	0.00	μB per cell
formation enthalpy at 0 K	0.1403	eV/atom
space-group type	C2/m

Cell lengths 7.818, 7.818, 7.809 Å; angles 117.70, 117.70, 22.70 degrees
Positions (direct):
Hf  0.000  0.000  0.000
Hf  0.225  0.225  0.148
Hf  0.775  0.775  0.852
Zr  0.078  0.078  0.702
Zr  0.363  0.363  0.596
Zr  0.637  0.637  0.404
Zr  0.922  0.922  0.298

The following is a DFT calculation (PBE) of a relaxed Sb2RuICl crystal.

## Properties
magnetization	0.00	μB per cell
formation energy (no corrections)	269	meV per atom
space-group type	P4/mmm

Cell lengths 5.104, 5.104, 5.573 Å; angles 90.00, 90.00, 90.00 degrees
Positions (direct):
Sb  0.000  0.500  0.000
Sb  0.500  0.000  0.000
Ru  0.000  0.000  0.000
I  0.000  0.000  0.500
Cl  0.500  0.500  0.500

The following is a DFT calculation (PBE) of a relaxed ScCu5Pd4 crystal.

## Properties
magnetization	0.00	μB per cell
formation enthalpy at 0 K	-0.1839	eV/atom
space-group type	C2/m

Cell lengths 5.185, 5.185, 7.367 Å; angles 92.41, 92.41, 49.06 degrees
Positions (direct):
Sc  0.000  0.000  0.000
Cu  0.000  0.000  0.500
Cu  0.256  0.256  0.410
Cu  0.313  0.313  0.059
Cu  0.687  0.687  0.941
Cu  0.744  0.744  0.590
Pd  0.184  0.184  0.751
Pd  0.469  0.469  0.711
Pd  0.531  0.531  0.289
Pd  0.816  0.816  0.249

The following is a DFT calculation (PBE) of a relaxed NdHoPt2 crystal.

## Properties
magnetization	0.00	μB per cell
formation enthalpy at 0 K	-1.1364	eV/atom
space-group type	P4/mmm

Cell lengths 3.532, 3.532, 7.135 Å; angles 90.00, 90.00, 90.00 degrees
Positions (direct):
Nd  0.000  0.000  0.000
Ho  0.000  0.000  0.500
Pt  0.500  0.500  0.269
Pt  0.500  0.500  0.731

The following is a DFT calculation (PBE) of a relaxed MgAg5Br8 crystal.

## Properties
magnetization	0.00	μB per cell
formation energy (no corrections)	-525	meV per atom
space-group type	I-4

Cell lengths 8.010, 8.010, 8.010 Å; angles 106.90, 106.90, 114.75 degrees
Positions (direct):
Mg  0.000  0.000  0.000
Ag  0.141  0.133  0.533
Ag  0.392  0.859  0.991
Ag  0.600  0.608  0.467
Ag  0.750  0.250  0.500
Ag  0.867  0.400  0.009
Br  0.088  0.873  0.727
Br  0.127  0.854  0.215
Br  0.129  0.421  0.809
Br  0.146  0.361  0.273
Br  0.579  0.388  0.708
Br  0.612  0.320  0.191
Br  0.639  0.912  0.785
Br  0.680  0.871  0.292

The following is a DFT calculation (PBE) of a relaxed MgI4Cl2 crystal.

## Properties
magnetization	0.00	μB per cell
formation energy (no corrections)	-233	meV per atom
space-group type	I4/mmm

Cell lengths 11.795, 11.795, 11.795 Å; angles 152.28, 152.28, 39.60 degrees
Positions (direct):
Mg  0.000  0.000  0.000
I  0.000  0.500  0.500
I  0.229  0.229  0.000
I  0.500  0.000  0.500
I  0.771  0.771  0.000
Cl  0.334  0.334  0.000
Cl  0.666  0.666  0.000

The following is a DFT calculation (PBE) of a relaxed K2NaHAu crystal.

## Properties
uncorrected energy	-2.158	eV/atom
magnetization	0.29	μB per cell
space-group type	P4/mmm

Cell lengths 5.395, 5.395, 4.738 Å; angles 90.00, 90.00, 90.00 degrees
Positions (direct):
K  0.000  0.500  0.000
K  0.500  0.000  0.000
Na  0.000  0.000  0.500
H  0.000  0.000  0.000
Au  0.500  0.500  0.500